The following is a DFT calculation (PBE) of PuTlCl after structural relaxation.

a = 3.911 Å, b = 16.521 Å, c = 4.992 Å
α = 90.00°, β = 90.00°, γ = 90.00°
Space group Cmcm (No. 63)
Unique sites:
Pu1 0.000 0.137 0.250 [4 per cell]
Tl1 0.000 0.448 0.250 [4 per cell]
Cl1 0.000 0.234 0.750 [4 per cell]

Properties
For the volume, the calculation gives 26.876 Å³ per atom. For the raw formation energy, the calculation gives -72 kJ per mole of atoms. The total energy is -6.93 eV/atom.



The following is a DFT calculation (PBE) of PuTlCl3 after structural relaxation.

a = 5.530 Å, b = 5.530 Å, c = 5.530 Å
α = 90.00°, β = 90.00°, γ = 90.00°
Space group Pm-3m (No. 221)
Unique sites:
Pu1 0.000 0.000 0.000 [1 per cell]
Tl1 0.500 0.500 0.500 [1 per cell]
Cl1 0.000 0.000 0.500 [3 per cell]

Properties
For the volume, the calculation gives 33.825 Å³ per atom. For the raw formation energy, the calculation gives -137 kJ per mole of atoms. The total energy is -5.86 eV/atom.



The following is a DFT calculation (PBE) of PuTl3Cl6 after structural relaxation.

a = 9.451 Å, b = 11.380 Å, c = 14.002 Å
α = 90.00°, β = 90.00°, γ = 90.00°
Space group Fmmm (No. 69)
Unique sites:
Pu1 0.000 0.000 0.000 [4 per cell]
Tl1 0.000 0.000 0.500 [4 per cell]
Tl2 0.250 0.250 0.250 [8 per cell]
Cl1 0.000 0.235 0.000 [8 per cell]
Cl2 0.212 0.000 0.132 [16 per cell]

Properties
For the volume, the calculation gives 37.648 Å³ per atom. The value obtained for the excess energy over the best structure of this formula in the dataset is 0.071 eV per atom. For the raw formation energy, the calculation gives -128 kJ per mole of atoms. The total energy is -4.58 eV/atom.



The following is a DFT calculation (PBE) of PuTlCl5 after structural relaxation.

a = 12.250 Å, b = 8.595 Å, c = 10.581 Å
α = 90.00°, β = 113.74°, γ = 90.00°
Space group C2/c (No. 15)
Unique sites:
Pu1 0.000 0.000 0.000 [4 per cell]
Tl1 0.000 0.467 0.250 [4 per cell]
Cl1 0.000 0.069 0.250 [4 per cell]
Cl2 0.068 0.284 0.996 [8 per cell]
Cl3 0.215 0.090 0.617 [8 per cell]

Properties
For the volume, the calculation gives 36.424 Å³ per atom. For the raw formation energy, the calculation gives -144 kJ per mole of atoms. The total energy is -5.19 eV/atom.



The following is a DFT calculation (PBE) of PuTl4Cl6 after structural relaxation.

a = 8.604 Å, b = 8.604 Å, c = 9.662 Å
α = 90.00°, β = 90.00°, γ = 90.00°
Space group P4/mnc (No. 128)
Unique sites:
Pu1 0.000 0.000 0.000 [2 per cell]
Tl1 0.157 0.343 0.250 [8 per cell]
Cl1 0.000 0.000 0.288 [4 per cell]
Cl2 0.129 0.700 0.000 [8 per cell]

Properties
For the volume, the calculation gives 32.511 Å³ per atom. For the raw formation energy, the calculation gives -116 kJ per mole of atoms. The total energy is -4.37 eV/atom.



The following is a DFT calculation (PBE) of Pu2TlCl8 after structural relaxation.

a = 8.497 Å, b = 12.778 Å, c = 5.432 Å
α = 90.00°, β = 99.21°, γ = 90.00°
Space group C2/m (No. 12)
Unique sites:
Pu1 0.000 0.178 0.000 [4 per cell]
Tl1 0.000 0.500 0.500 [2 per cell]
Cl1 0.000 0.236 0.500 [4 per cell]
Cl2 0.101 0.000 0.272 [4 per cell]
Cl3 0.191 0.361 0.080 [8 per cell]

Properties
For the volume, the calculation gives 26.463 Å³ per atom. The value obtained for the excess energy over the best structure of this formula in the dataset is 0.000 eV per atom. For the raw formation energy, the calculation gives -157 kJ per mole of atoms. The total energy is -5.79 eV/atom.



The following is a DFT calculation (PBE) of PuTl3Cl6 after structural relaxation.

a = 7.575 Å, b = 8.258 Å, c = 13.060 Å
α = 90.00°, β = 122.99°, γ = 90.00°
Space group P2_1/c (No. 14)
Unique sites:
Pu1 0.000 0.000 0.000 [2 per cell]
Tl1 0.288 0.072 0.760 [4 per cell]
Tl2 0.500 0.000 0.500 [2 per cell]
Cl1 0.093 0.065 0.229 [4 per cell]
Cl2 0.237 0.723 0.076 [4 per cell]
Cl3 0.347 0.171 0.053 [4 per cell]

Properties
For the volume, the calculation gives 34.260 Å³ per atom. The value obtained for the excess energy over the best structure of this formula in the dataset is 0.000 eV per atom. For the raw formation energy, the calculation gives -135 kJ per mole of atoms. The total energy is -4.65 eV/atom.



The following is a DFT calculation (PBE) of Pu2TlCl6 after structural relaxation.

a = 7.2717 Å, b = 7.2717 Å, c = 6.8916 Å
α = 90.00°, β = 90.00°, γ = 120.00°
Space group P-31m (No. 162)
Unique sites:
Pu1 0.3333 0.6667 0.0000 [2 per cell]
Tl1 0.0000 0.0000 0.5000 [1 per cell]
Cl1 0.0000 0.3702 0.2266 [6 per cell]

Properties
For the volume, the calculation gives 35.065 Å³ per atom. For the raw formation energy, the calculation gives -168 kJ per mole of atoms. The total energy is -6.42 eV/atom.



The following is a DFT calculation (PBE) of Pu3Tl5Cl12 after structural relaxation.

a = 17.653 Å, b = 17.653 Å, c = 17.653 Å
α = 90.00°, β = 90.00°, γ = 90.00°
Space group Ia-3d (No. 230)
Unique sites:
Pu1 0.000 0.250 0.125 [24 per cell]
Tl1 0.000 0.000 0.000 [16 per cell]
Tl2 0.000 0.250 0.375 [24 per cell]
Cl1 0.020 0.091 0.651 [96 per cell]

Properties
For the volume, the calculation gives 34.382 Å³ per atom. For the raw formation energy, the calculation gives -123 kJ per mole of atoms. The total energy is -5.12 eV/atom.



The following is a DFT calculation (PBE) of Pu2TlCl8 after structural relaxation.

a = 12.462 Å, b = 8.304 Å, c = 7.830 Å
α = 90.00°, β = 101.39°, γ = 90.00°
Space group C2/m (No. 12)
Unique sites:
Pu1 0.227 0.000 0.480 [4 per cell]
Tl1 0.000 0.500 0.000 [2 per cell]
Cl1 0.124 0.282 0.357 [8 per cell]
Cl2 0.127 0.000 0.731 [4 per cell]
Cl3 0.191 0.500 0.796 [4 per cell]

Properties
For the volume, the calculation gives 36.107 Å³ per atom. The value obtained for the excess energy over the best structure of this formula in the dataset is 0.005 eV per atom. For the raw formation energy, the calculation gives -156 kJ per mole of atoms. The total energy is -5.78 eV/atom.



The following is a DFT calculation (PBE) of PuTl2Cl8 after structural relaxation.

a = 12.630 Å, b = 7.272 Å, c = 8.192 Å
α = 90.00°, β = 90.26°, γ = 90.00°
Space group C2/m (No. 12)
Unique sites:
Pu1 0.000 0.000 0.000 [2 per cell]
Tl1 0.114 0.000 0.539 [4 per cell]
Cl1 0.079 0.245 0.803 [8 per cell]
Cl2 0.163 0.000 0.190 [4 per cell]
Cl3 0.193 0.500 0.422 [4 per cell]

Properties
For the volume, the calculation gives 34.200 Å³ per atom. For the raw formation energy, the calculation gives -106 kJ per mole of atoms. The total energy is -4.18 eV/atom.



The following is a DFT calculation (PBE) of TmPuTlCl6 after structural relaxation.

a = 7.1456 Å, b = 7.1456 Å, c = 13.9293 Å
α = 90.00°, β = 90.00°, γ = 120.00°
Space group P-31c (No. 163)
Unique sites:
Tm1 0.3333 0.6667 0.2500 [2 per cell]
Pu1 0.3333 0.6667 0.7500 [2 per cell]
Tl1 0.0000 0.0000 0.0000 [2 per cell]
Cl1 0.0225 0.3798 0.1406 [12 per cell]

Properties
For the volume, the calculation gives 34.219 Å³ per atom. For the raw formation energy, the calculation gives -178 kJ per mole of atoms. The total energy is -5.42 eV/atom.